[1]
This record from Alexandria describes a relaxed structure of Pm3Pr. The functional is PBE.

Unit cell a=8.2341 b=8.2341 c=8.2341 alpha=90.00 beta=90.00 gamma=90.00
Space group Fm-3m (No. 225)
Symmetry-distinct sites (fractional):
Pm: 0.0000 0.0000 0.0000
Pm: 0.2500 0.2500 0.2500
Pr: 0.0000 0.0000 0.5000

Properties
**Offset from the most stable computed form**: 122 meV/atom
**Total magnetization**: 0.00 μB/f.u.
**ρ**: 6.9 g/cm3
**ΔH_f (0 K)**: 0.1353 eV per atom
**VASP energy**: -4.623 eV per atom

***

[2]
This record from Alexandria describes a relaxed structure of AlSiAs2. The functional is PBE.

Unit cell a=3.6143 b=3.6143 c=5.9866 alpha=90.00 beta=90.00 gamma=90.00
Space group P4mm (No. 99)
Symmetry-distinct sites (fractional):
Al: 0.0000 0.0000 0.0000
Si: 0.5000 0.5000 0.5079
As: 0.0000 0.0000 0.4227
As: 0.5000 0.5000 0.9077

Properties
**Offset from the most stable computed form**: 0 meV/atom
**Total magnetization**: 0.00 μB/f.u.
**Energy relative to the elements, uncorrected**: -0.048 eV per atom
**ρ**: 4.4 g/cm3
**VASP energy**: -4.664 eV per atom

***

[3]
This record from Alexandria describes a relaxed structure of TbHo3Al. The functional is PBE.

Unit cell a=12.2900 b=13.9289 c=7.0093 alpha=90.00 beta=100.43 gamma=90.00
Space group C2/c (No. 15)
Symmetry-distinct sites (fractional):
Tb: 0.1120 0.1843 0.1566
Ho: 0.1141 0.0612 0.6084
Ho: 0.1305 0.3479 0.5287
Ho: 0.1715 0.4057 0.0265
Al: 0.0000 0.2351 0.7500
Al: 0.0000 0.4913 0.2500

Properties
**Offset from the most stable computed form**: 173 meV/atom
**Total magnetization**: 0.00 μB/f.u.
**ρ**: 7.7 g/cm3
**ΔH_f (0 K)**: 0.0273 eV per atom
**VASP energy**: -4.394 eV per atom

***

[4]
This record from Alexandria describes a relaxed structure of RbAlTl2N. The functional is PBE.

Unit cell a=6.8011 b=6.8011 c=6.4846 alpha=90.00 beta=90.00 gamma=90.00
Space group P4/mmm (No. 123)
Symmetry-distinct sites (fractional):
Rb: 0.0000 0.0000 0.0000
Al: 0.0000 0.0000 0.5000
Tl: 0.0000 0.5000 0.0000
N: 0.5000 0.5000 0.5000

Properties
**Total magnetization**: 0.92 μB/f.u.
**Energy relative to the elements, uncorrected**: 1.931 eV per atom
**ρ**: 3.0 g/cm3
**VASP energy**: -1.622 eV per atom

***

[5]
This record from Alexandria describes a relaxed structure of Zr2CdHg. The functional is PBE.

Unit cell a=3.1243 b=3.1243 c=31.6408 alpha=90.00 beta=90.00 gamma=120.00
Space group R-3m (No. 166, hexagonal axes)
Symmetry-distinct sites (fractional):
Zr: 0.0000 0.0000 0.2492
Cd: 0.0000 0.0000 0.0000
Hg: 0.0000 0.0000 0.5000

Properties
**Offset from the most stable computed form**: 130 meV/atom
**Total magnetization**: 0.00 μB/f.u.
**ρ**: 9.2 g/cm3
**ΔH_f (0 K)**: -0.0182 eV per atom
**VASP energy**: -4.596 eV per atom

***

[6]
This record from Alexandria describes a relaxed structure of LiCd2InHg6. The functional is PBE.

Unit cell a=5.7492 b=6.0207 c=7.1921 alpha=86.34 beta=85.85 gamma=83.76
Space group P1 (No. 1)
Symmetry-distinct sites (fractional):
Li: 0.0000 0.0000 0.0000
Cd: 0.2511 0.1372 0.3082
Cd: 0.7062 0.7625 0.7733
In: 0.5764 0.4100 0.4981
Hg: 0.0488 0.3168 0.6896
Hg: 0.2151 0.8008 0.6543
Hg: 0.3681 0.6782 0.1285
Hg: 0.5117 0.2068 0.9230
Hg: 0.7717 0.9240 0.3592
Hg: 0.8994 0.4764 0.1173

Properties
**Total magnetization**: 0.00 μB/f.u.
**ρ**: 10.4 g/cm3
**ΔH_f (0 K)**: -0.0503 eV per atom
**VASP energy**: -0.880 eV per atom

***

[7]
This record from Alexandria describes a relaxed structure of Pm3Fe. The functional is PBE.

Unit cell a=3.6255 b=10.7969 c=5.6261 alpha=90.00 beta=90.00 gamma=90.00
Space group Imm2 (No. 44)
Symmetry-distinct sites (fractional):
Pm: 0.0000 0.0000 0.0000
Pm: 0.0000 0.1916 0.4974
Fe: 0.0000 0.5000 0.9389

Properties
**Offset from the most stable computed form**: 0 meV/atom
**Total magnetization**: 0.28 μB/f.u.
**ρ**: 7.4 g/cm3
**ΔH_f (0 K)**: 0.1728 eV per atom
**VASP energy**: -5.506 eV per atom

***

[8]
This record from Alexandria describes a relaxed structure of FeReN3. The functional is PBE.

Unit cell a=3.8654 b=3.8654 c=3.8654 alpha=90.00 beta=90.00 gamma=90.00
Space group Pm-3m (No. 221)
Symmetry-distinct sites (fractional):
Fe: 0.0000 0.0000 0.0000
Re: 0.5000 0.5000 0.5000
N: 0.0000 0.5000 0.5000

Properties
**Total magnetization**: 4.10 μB/f.u.
**Energy relative to the elements, uncorrected**: 0.913 eV per atom
**ρ**: 8.2 g/cm3
**VASP energy**: -8.265 eV per atom

***

[9]
This record from Alexandria describes a relaxed structure of HfPa4As5. The functional is PBE.

Unit cell a=13.3671 b=4.0381 c=9.9463 alpha=90.00 beta=119.60 gamma=90.00
Space group C2/m (No. 12)
Symmetry-distinct sites (fractional):
Hf: 0.0000 0.0000 0.0000
Pa: 0.1036 0.5000 0.4025
Pa: 0.1969 0.0000 0.8037
As: 0.0000 0.0000 0.5000
As: 0.0919 0.5000 0.9047
As: 0.1952 0.0000 0.2870

Properties
**Total magnetization**: 0.00 μB/f.u.
**ρ**: 10.5 g/cm3
**ΔH_f (0 K)**: -1.0356 eV per atom
**VASP energy**: -8.154 eV per atom

***

[10]
This record from Alexandria describes a relaxed structure of Cr3C. The functional is PBE.

Unit cell a=3.3938 b=3.3938 c=3.3938 alpha=90.00 beta=90.00 gamma=90.00
Space group Pm-3m (No. 221)
Symmetry-distinct sites (fractional):
Cr: 0.0000 0.0000 0.5000
C: 0.5000 0.5000 0.5000

Properties
**Offset from the most stable computed form**: 758 meV/atom
**Total magnetization**: 0.00 μB/f.u.
**ρ**: 7.1 g/cm3
**ΔH_f (0 K)**: 0.6651 eV per atom
**VASP energy**: -8.858 eV per atom

***

[11]
This record from Alexandria describes a relaxed structure of V2ReRh2. The functional is PBE.

Unit cell a=3.5666 b=3.5666 c=11.8913 alpha=90.00 beta=90.00 gamma=90.00
Space group I4/mmm (No. 139)
Symmetry-distinct sites (fractional):
V: 0.0000 0.0000 0.1003
Re: 0.0000 0.0000 0.5000
Rh: 0.0000 0.5000 0.2500

Properties
**Offset from the most stable computed form**: 422 meV/atom
**Total magnetization**: 0.01 μB/f.u.
**ρ**: 10.8 g/cm3
**ΔH_f (0 K)**: 0.3447 eV per atom
**VASP energy**: -8.733 eV per atom

***

[12]
This record from Alexandria describes a relaxed structure of MgSi2Cl. The functional is PBE.

Unit cell a=6.7439 b=6.7439 c=6.7439 alpha=90.00 beta=90.00 gamma=90.00
Space group Fm-3m (No. 225)
Symmetry-distinct sites (fractional):
Mg: 0.0000 0.0000 0.0000
Si: 0.2500 0.2500 0.2500
Cl: 0.0000 0.0000 0.5000

Properties
**Offset from the most stable computed form**: 1041 meV/atom
**Total magnetization**: 0.00 μB/f.u.
**Energy relative to the elements, uncorrected**: 0.560 eV per atom
**ρ**: 2.5 g/cm3
**VASP energy**: -3.012 eV per atom

***

What is the formula in the tenth record? Cr3C

***

Which value of total magnetization does entry 3 give? 0.00 μB/f.u.

***

Among the records above, which one has the highest ρ? V2ReRh2

***

Which value of ρ does entry 4 give? 3.0 g/cm3